Material: Dy2Ho9Th
Method: DFT, PBE
State: optimized geometry

As for the formation energy: 27 meV/atom. The calculated volume comes out at 374 Å³ per cell.

The space group is P4/mmm (No. 123) and the conventional cell measures 4.9994, 4.9994 and 14.9675 Å, with angles of 90.00, 90.00 and 90.00 degrees. The asymmetric unit holds Dy at (0.0000, 0.0000, 0.1669), Ho at (0.0000, 0.5000, 0.0000), Ho at (0.0000, 0.5000, 0.3346), Ho at (0.5000, 0.5000, 0.1651), Ho at (0.5000, 0.5000, 0.5000) and Th at (0.0000, 0.0000, 0.5000).